# 1
Density functional theory data (PBE) for Ac2C2N after structural relaxation.

CIF file:
```
data_Ac2C2N
_space_group_name_H-M_alt 'C m c 21'
_space_group_IT_number 36
_cell_length_a 3.646
_cell_length_b 12.361
_cell_length_c 9.741
_cell_angle_alpha 90.00
_cell_angle_beta 90.00
_cell_angle_gamma 90.00
loop_
_space_group_symop_operation_xyz
'x,y,z'
'-x,-y,z+1/2'
'-x,y,z'
'x,-y,z+1/2'
'x+1/2,y+1/2,z'
'-x+1/2,-y+1/2,z+1/2'
'-x+1/2,y+1/2,z'
'x+1/2,-y+1/2,z+1/2'
loop_
_atom_site_label
_atom_site_fract_x
_atom_site_fract_y
_atom_site_fract_z
Ac1 0.000 0.005 0.000
Ac2 0.000 0.216 0.227
C1 0.000 0.222 0.944
C2 0.000 0.325 0.970
N1 0.000 0.423 0.659
```

Properties
Electronic total energy ... -7.120 eV per atom
N(E_F) ... 0.6867 states/eV per atom

# 2
Density functional theory data (PBE) for PmSiRh2 after structural relaxation.

CIF file:
```
data_PmSiRh2
_space_group_name_H-M_alt 'F m -3 m'
_space_group_IT_number 225
_space_group_name_Hall '-F 4 2 3'
_cell_length_a 6.506
_cell_length_b 6.506
_cell_length_c 6.506
_cell_angle_alpha 90.00
_cell_angle_beta 90.00
_cell_angle_gamma 90.00
loop_
_atom_site_label
_atom_site_fract_x
_atom_site_fract_y
_atom_site_fract_z
Pm1 0.000 0.000 0.000
Si1 0.000 0.000 0.500
Rh1 0.250 0.250 0.250
```

Properties
Energy relative to the lowest polymorph listed for this composition ... 355.0 meV/atom
Electronic total energy ... -6.785 eV per atom
N(E_F) ... 1.1407 states/eV per atom

# 3
Density functional theory data (PBE) for K2FePt after structural relaxation.

CIF file:
```
data_K2FePt
_space_group_name_H-M_alt 'I -4 m 2'
_space_group_IT_number 119
_space_group_name_Hall 'I -4 -2'
_cell_length_a 5.143
_cell_length_b 5.143
_cell_length_c 7.298
_cell_angle_alpha 90.00
_cell_angle_beta 90.00
_cell_angle_gamma 90.00
loop_
_atom_site_label
_atom_site_fract_x
_atom_site_fract_y
_atom_site_fract_z
K1 0.000 0.000 0.000
K2 0.000 0.500 0.250
Fe1 0.000 0.000 0.500
Pt1 0.000 0.500 0.750
```

Properties
Calculated formation energy ... 65 kJ per mole of atoms
Energy relative to the lowest polymorph listed for this composition ... 470.4 meV/atom
Electronic total energy ... -3.496 eV per atom
N(E_F) ... 1.3222 states/eV per atom

# 4
Density functional theory data (PBE) for SrMnReP2 after structural relaxation.

CIF file:
```
data_SrMnReP2
_space_group_name_H-M_alt 'I -4 m 2'
_space_group_IT_number 119
_space_group_name_Hall 'I -4 -2'
_cell_length_a 3.919
_cell_length_b 3.919
_cell_length_c 12.126
_cell_angle_alpha 90.00
_cell_angle_beta 90.00
_cell_angle_gamma 90.00
loop_
_atom_site_label
_atom_site_fract_x
_atom_site_fract_y
_atom_site_fract_z
Sr1 0.000 0.000 0.000
Mn1 0.000 0.500 0.750
Re1 0.000 0.500 0.250
P1 0.000 0.000 0.359
```

Properties
Calculated formation energy ... -64 kJ per mole of atoms
Electronic total energy ... -7.488 eV per atom
N(E_F) ... 0.4417 states/eV per atom

# 5
Density functional theory data (PBE) for Tl2TeSe3 after structural relaxation.

CIF file:
```
data_Tl2TeSe3
_space_group_name_H-M_alt 'C 1 2/c 1'
_space_group_IT_number 15
_cell_length_a 14.619
_cell_length_b 6.462
_cell_length_c 8.370
_cell_angle_alpha 90.00
_cell_angle_beta 106.76
_cell_angle_gamma 90.00
loop_
_space_group_symop_operation_xyz
'x,y,z'
'-x,-y,-z'
'-x,y,-z+1/2'
'x,-y,z+1/2'
'x+1/2,y+1/2,z'
'-x+1/2,-y+1/2,-z'
'-x+1/2,y+1/2,-z+1/2'
'x+1/2,-y+1/2,z+1/2'
loop_
_atom_site_label
_atom_site_fract_x
_atom_site_fract_y
_atom_site_fract_z
Tl1 0.177 0.000 0.088
Te1 0.000 0.446 0.250
Se1 0.000 0.048 0.250
Se2 0.138 0.494 0.069
```

Properties
Electronic total energy ... -3.271 eV per atom

# 6
Density functional theory data (PBE) for Na3GeMo after structural relaxation.

CIF file:
```
data_Na3GeMo
_space_group_name_H-M_alt 'P m -3 m'
_space_group_IT_number 221
_space_group_name_Hall '-P 4 2 3'
_cell_length_a 5.546
_cell_length_b 5.546
_cell_length_c 5.546
_cell_angle_alpha 90.00
_cell_angle_beta 90.00
_cell_angle_gamma 90.00
loop_
_atom_site_label
_atom_site_fract_x
_atom_site_fract_y
_atom_site_fract_z
Na1 0.000 0.000 0.500
Ge1 0.000 0.000 0.000
Mo1 0.500 0.500 0.500
```

Properties
Calculated formation energy ... 108 kJ per mole of atoms
Energy relative to the lowest polymorph listed for this composition ... 0.0 meV/atom
Electronic total energy ... -2.758 eV per atom
N(E_F) ... 0.5611 states/eV per atom

Let's list magnetization in order: 0.000, 0.000, 3.531, 2.626, 0.000, 4.947 μB/f.u..